[1]
Here is a relaxed structure of Pr5Pd4O from Alexandria via LeMat-Bulk. Energies are from PBE-GGA.

```
Pr5Pd4O
1.0
-1.558 -4.879 -2.446
3.344 -1.282 -6.158
3.962 -5.571 2.004
Pd Pr O
4 5 1
Direct
0.158 0.272 0.411 Pd
0.841 0.728 0.589 Pd
0.569 0.589 0.272 Pd
0.430 0.411 0.728 Pd
0.476 0.000 0.000 Pr
0.121 0.625 0.130 Pr
0.250 0.870 0.625 Pr
0.876 0.375 0.870 Pr
0.746 0.130 0.375 Pr
0.044 0.000 0.000 O
```

Summary:
theoretical density	7.9	g/cm3
VASP energy	-59.64	eV per formula unit

[2]
Here is a relaxed structure of Pr3PdO6 from Alexandria via LeMat-Bulk. Energies are from PBE-GGA.

```
Pr3PdO6
1.0
6.789 -0.450 -0.587
-0.600 6.778 -0.587
-0.440 -0.450 6.800
O Pr Pd
12 6 2
Direct
0.952 0.058 0.300 O
0.058 0.300 0.952 O
0.810 0.415 0.561 O
0.585 0.439 0.190 O
0.300 0.952 0.058 O
0.190 0.585 0.439 O
0.415 0.561 0.810 O
0.561 0.810 0.415 O
0.439 0.190 0.585 O
0.942 0.700 0.048 O
0.700 0.048 0.942 O
0.048 0.942 0.700 O
0.606 0.117 0.285 Pr
0.715 0.394 0.883 Pr
0.117 0.285 0.606 Pr
0.285 0.606 0.117 Pr
0.394 0.883 0.715 Pr
0.883 0.715 0.394 Pr
0.500 0.500 0.500 Pd
0.000 0.000 0.000 Pd
```

Summary:
theoretical density	6.8	g/cm3
VASP energy	-74.57	eV per formula unit

[3]
Here is a relaxed structure of Pr5Pd2O12 from Alexandria via LeMat-Bulk. Energies are from PBE-GGA.

```
Pr5Pd2O12
1.0
6.124 0.000 0.000
-3.062 6.189 -1.907
0.000 0.002 7.624
Pr O Pd
5 12 2
Direct
0.304 0.608 0.643 Pr
0.000 0.000 0.500 Pr
0.695 0.390 0.837 Pr
0.305 0.610 0.163 Pr
0.696 0.392 0.357 Pr
0.900 0.325 0.081 O
0.100 0.675 0.919 O
0.500 0.999 0.176 O
0.402 0.306 0.576 O
0.904 0.306 0.576 O
0.500 0.001 0.824 O
0.575 0.675 0.919 O
0.425 0.325 0.081 O
0.096 0.694 0.424 O
0.000 0.999 0.825 O
0.000 0.001 0.175 O
0.598 0.694 0.424 O
0.246 0.000 0.000 Pd
0.754 0.000 0.000 Pd
```

Summary:
theoretical density	6.4	g/cm3
VASP energy	-138.40	eV per formula unit

[4]
Here is a relaxed structure of Pr2PdO3 from Alexandria via LeMat-Bulk. Energies are from PBE-GGA.

```
Pr2PdO3
1.0
3.379 0.000 0.000
0.000 3.942 0.000
-1.689 -1.971 7.015
Pr O Pd
2 3 1
Direct
0.357 0.357 0.713 Pr
0.643 0.643 0.287 Pr
0.190 0.190 0.381 O
0.000 0.500 0.000 O
0.810 0.810 0.619 O
0.000 0.000 0.000 Pd
```

Summary:
theoretical density	7.8	g/cm3
VASP energy	-43.38	eV per formula unit

[5]
Here is a relaxed structure of PrPdO3 from Alexandria via LeMat-Bulk. Energies are from PBE-GGA.

```
PrPdO3
1.0
5.921 0.350 0.838
3.205 4.991 0.838
4.311 2.523 10.399
Pd Pr O
4 4 12
Direct
0.750 0.250 0.250 Pd
0.500 0.000 0.000 Pd
0.000 0.500 0.500 Pd
0.250 0.750 0.750 Pd
0.380 0.880 0.359 Pr
0.880 0.380 0.859 Pr
0.120 0.620 0.141 Pr
0.620 0.120 0.641 Pr
0.330 0.323 0.841 O
0.170 0.176 0.659 O
0.304 0.804 0.895 O
0.696 0.196 0.105 O
0.804 0.304 0.395 O
0.830 0.824 0.341 O
0.196 0.696 0.605 O
0.323 0.330 0.341 O
0.824 0.830 0.841 O
0.670 0.677 0.159 O
0.176 0.170 0.159 O
0.677 0.670 0.659 O
```

Summary:
theoretical density	7.2	g/cm3
VASP energy	-34.17	eV per formula unit

[6]
Here is a relaxed structure of PrPuPdO6 from Alexandria via LeMat-Bulk. Energies are from PBE-GGA.

```
PrPuPdO6
1.0
-3.380 -4.144 0.679
5.326 -0.820 0.111
0.041 1.676 10.442
O Pd Pu Pr
12 2 2 2
Direct
0.996 0.643 0.860 O
0.004 0.357 0.140 O
0.357 0.353 0.860 O
0.004 0.647 0.360 O
0.996 0.353 0.640 O
0.357 0.004 0.640 O
0.353 0.357 0.360 O
0.643 0.996 0.360 O
0.643 0.647 0.140 O
0.353 0.996 0.140 O
0.647 0.643 0.640 O
0.647 0.004 0.860 O
0.667 0.333 0.750 Pd
0.333 0.667 0.250 Pd
0.333 0.667 0.750 Pu
0.667 0.333 0.250 Pu
0.000 0.000 0.500 Pr
0.000 0.000 0.000 Pr
```

Summary:
theoretical density	7.3	g/cm3
VASP energy	-73.35	eV per formula unit

[7]
Here is a relaxed structure of Rb3Pr3PdO8 from Alexandria via LeMat-Bulk. Energies are from PBE-GGA.

```
Rb3Pr3PdO8
1.0
-5.354 -3.487 -3.192
6.578 -2.781 -0.006
-3.928 -0.131 6.733
O Rb Pr Pd
8 3 3 1
Direct
0.758 0.963 0.668 O
0.205 0.410 0.668 O
0.795 0.590 0.332 O
0.795 0.037 0.332 O
0.273 0.546 0.319 O
0.205 0.963 0.668 O
0.242 0.037 0.332 O
0.727 0.454 0.681 O
0.000 0.500 0.000 Rb
0.000 0.000 0.000 Rb
0.500 0.500 0.000 Rb
0.500 0.000 0.500 Pr
0.000 0.500 0.500 Pr
0.500 0.500 0.500 Pr
0.000 0.000 0.500 Pd
```

Summary:
theoretical density	5.2	g/cm3
VASP energy	-93.16	eV per formula unit

[8]
Here is a relaxed structure of RbPr2PdO5 from Alexandria via LeMat-Bulk. Energies are from PBE-GGA.

```
RbPr2PdO5
1.0
-6.489 -2.373 0.167
2.208 -5.828 2.988
1.357 6.631 3.935
O Pr Rb Pd
10 4 2 2
Direct
0.010 0.510 0.762 O
0.000 0.000 0.000 O
0.252 0.010 0.762 O
0.990 0.490 0.238 O
0.748 0.990 0.238 O
0.490 0.248 0.238 O
0.248 0.748 0.238 O
0.752 0.252 0.762 O
0.500 0.500 0.000 O
0.510 0.752 0.762 O
0.176 0.324 0.000 Pr
0.824 0.676 0.000 Pr
0.676 0.176 0.000 Pr
0.324 0.824 0.000 Pr
0.250 0.250 0.500 Rb
0.750 0.750 0.500 Rb
0.250 0.750 0.500 Pd
0.750 0.250 0.500 Pd
```

Summary:
theoretical density	6.3	g/cm3
VASP energy	-58.88	eV per formula unit

[9]
Here is a relaxed structure of PrPd3Rh4O12 from Alexandria via LeMat-Bulk. Energies are from PBE-GGA.

```
PrPd3Rh4O12
1.0
-5.485 -0.970 -3.609
5.039 -3.388 -2.680
-1.033 -2.112 6.207
Rh O Pd Pr
4 12 3 1
Direct
0.500 0.000 0.000 Rh
0.500 0.500 0.500 Rh
0.000 0.500 0.000 Rh
0.000 0.000 0.500 Rh
0.469 0.299 0.171 O
0.171 0.469 0.299 O
0.299 0.829 0.128 O
0.872 0.701 0.171 O
0.701 0.829 0.531 O
0.829 0.128 0.299 O
0.829 0.531 0.701 O
0.299 0.171 0.469 O
0.701 0.171 0.872 O
0.171 0.872 0.701 O
0.128 0.299 0.829 O
0.531 0.701 0.829 O
0.500 0.500 0.000 Pd
0.500 0.000 0.500 Pd
0.000 0.500 0.500 Pd
0.000 0.000 0.000 Pr
```

Summary:
theoretical density	7.8	g/cm3
VASP energy	-128.25	eV per formula unit

[10]
Here is a relaxed structure of PrPdS2O8 from Alexandria via LeMat-Bulk. Energies are from PBE-GGA.

```
PrPdS2O8
1.0
-1.689 1.473 4.722
-3.327 -0.180 -4.027
-1.630 -7.217 1.669
O Pd S Pr
8 1 2 1
Direct
0.333 0.667 0.497 O
0.823 0.646 0.244 O
0.354 0.177 0.244 O
0.177 0.354 0.756 O
0.646 0.823 0.756 O
0.177 0.823 0.756 O
0.823 0.177 0.244 O
0.667 0.333 0.503 O
0.000 0.000 0.000 Pd
0.667 0.333 0.305 S
0.333 0.667 0.695 S
0.000 0.000 0.500 Pr
```

Summary:
theoretical density	4.1	g/cm3
VASP energy	-76.83	eV per formula unit

[11]
Here is a relaxed structure of PrSc4Pd3O12 from Alexandria via LeMat-Bulk. Energies are from PBE-GGA.

```
PrSc4Pd3O12
1.0
6.806 0.000 0.000
-2.269 6.417 0.000
-2.269 -3.209 5.557
Pr Pd Sc O
1 3 4 12
Direct
0.000 0.000 0.000 Pr
0.500 0.000 0.500 Pd
0.000 0.500 0.500 Pd
0.500 0.500 0.000 Pd
0.500 0.000 0.000 Sc
0.500 0.500 0.500 Sc
0.000 0.500 0.000 Sc
0.000 0.000 0.500 Sc
0.697 0.167 0.865 O
0.697 0.833 0.530 O
0.833 0.530 0.697 O
0.303 0.167 0.470 O
0.167 0.865 0.697 O
0.833 0.135 0.303 O
0.865 0.697 0.167 O
0.530 0.697 0.833 O
0.167 0.470 0.303 O
0.135 0.303 0.833 O
0.470 0.303 0.167 O
0.303 0.833 0.135 O
```

Summary:
theoretical density	5.7	g/cm3
VASP energy	-149.95	eV per formula unit

[12]
Here is a relaxed structure of PrPdSe2O8 from Alexandria via LeMat-Bulk. Energies are from PBE-GGA.

```
PrPdSe2O8
1.0
-0.022 5.510 -0.949
-1.036 -1.957 5.135
7.031 0.291 1.529
O Se Pd Pr
8 2 1 1
Direct
0.667 0.333 0.534 O
0.332 0.166 0.231 O
0.668 0.834 0.769 O
0.333 0.667 0.466 O
0.166 0.332 0.769 O
0.834 0.166 0.231 O
0.834 0.668 0.231 O
0.166 0.834 0.769 O
0.333 0.667 0.699 Se
0.667 0.333 0.301 Se
0.000 0.000 0.000 Pd
0.000 0.000 0.500 Pr
```

Summary:
theoretical density	4.5	g/cm3
VASP energy	-69.22	eV per formula unit

[13]
Here is a relaxed structure of Pr2SmPdO5 from Alexandria via LeMat-Bulk. Energies are from PBE-GGA.

```
Pr2SmPdO5
1.0
5.964 0.000 0.000
0.000 6.671 0.000
0.000 0.000 6.671
O Pr Pd Sm
10 4 2 2
Direct
0.764 0.667 0.833 O
0.764 0.333 0.167 O
0.500 0.000 0.000 O
0.500 0.500 0.500 O
0.236 0.833 0.333 O
0.764 0.167 0.667 O
0.236 0.333 0.167 O
0.236 0.667 0.833 O
0.236 0.167 0.667 O
0.764 0.833 0.333 O
0.500 0.337 0.837 Pr
0.500 0.663 0.163 Pr
0.500 0.163 0.337 Pr
0.500 0.837 0.663 Pr
0.000 0.500 0.000 Pd
0.000 0.000 0.500 Pd
0.000 0.500 0.500 Sm
0.000 0.000 0.000 Sm
```

Summary:
theoretical density	7.7	g/cm3
VASP energy	-65.94	eV per formula unit

[14]
Here is a relaxed structure of SrPrPdO4 from Alexandria via LeMat-Bulk. Energies are from PBE-GGA.

```
SrPrPdO4
1.0
-0.091 -1.817 3.641
2.633 -2.804 -1.333
3.426 5.830 0.720
O Pr Sr Pd
4 1 1 1
Direct
0.989 0.489 0.978 O
0.489 0.989 0.978 O
0.178 0.178 0.356 O
0.834 0.834 0.669 O
0.364 0.364 0.728 Pr
0.642 0.642 0.284 Sr
0.005 0.005 0.009 Pd
```

Summary:
theoretical density	6.5	g/cm3
VASP energy	-46.00	eV per formula unit

[15]
Here is a relaxed structure of TbPr2PdO5 from Alexandria via LeMat-Bulk. Energies are from PBE-GGA.

```
TbPr2PdO5
1.0
-1.166 -0.215 5.822
-1.607 -6.427 -0.559
6.318 -1.685 1.204
O Tb Pr Pd
10 2 4 2
Direct
0.234 0.831 0.331 O
0.234 0.169 0.669 O
0.500 0.000 0.000 O
0.234 0.669 0.831 O
0.766 0.669 0.831 O
0.766 0.169 0.669 O
0.766 0.831 0.331 O
0.234 0.331 0.169 O
0.500 0.500 0.500 O
0.766 0.331 0.169 O
0.000 0.500 0.500 Tb
0.000 0.000 0.000 Tb
0.500 0.837 0.663 Pr
0.500 0.337 0.837 Pr
0.500 0.163 0.337 Pr
0.500 0.663 0.163 Pr
0.000 0.500 0.000 Pd
0.000 0.000 0.500 Pd
```

Summary:
theoretical density	7.9	g/cm3
VASP energy	-65.49	eV per formula unit

[16]
Here is a relaxed structure of Pr2TlPdO6 from Alexandria via LeMat-Bulk. Energies are from PBE-GGA.

```
Pr2TlPdO6
1.0
5.671 0.000 -0.023
0.000 6.167 0.000
0.017 0.000 8.193
O Tl Pr Pd
12 2 4 2
Direct
0.630 0.056 0.267 O
0.180 0.199 0.069 O
0.820 0.801 0.931 O
0.680 0.301 0.569 O
0.870 0.556 0.233 O
0.200 0.178 0.442 O
0.320 0.699 0.431 O
0.300 0.678 0.058 O
0.700 0.322 0.942 O
0.800 0.822 0.558 O
0.370 0.944 0.733 O
0.130 0.444 0.767 O
0.500 0.000 0.000 Tl
0.000 0.500 0.500 Tl
0.024 0.925 0.253 Pr
0.524 0.575 0.753 Pr
0.476 0.425 0.247 Pr
0.976 0.075 0.747 Pr
0.000 0.500 0.000 Pd
0.500 0.000 0.500 Pd
```

Summary:
theoretical density	8.0	g/cm3
VASP energy	-65.65	eV per formula unit

[17]
Here is a relaxed structure of Pr2TlPdO5 from Alexandria via LeMat-Bulk. Energies are from PBE-GGA.

```
Pr2TlPdO5
1.0
5.879 0.000 0.000
0.000 6.961 0.000
0.000 0.000 6.961
Tl Pr O Pd
2 4 10 2
Direct
0.000 0.500 0.500 Tl
0.000 0.000 0.000 Tl
0.500 0.325 0.825 Pr
0.500 0.675 0.175 Pr
0.500 0.175 0.325 Pr
0.500 0.825 0.675 Pr
0.258 0.133 0.633 O
0.500 0.000 0.000 O
0.742 0.133 0.633 O
0.500 0.500 0.500 O
0.742 0.367 0.133 O
0.742 0.633 0.867 O
0.258 0.867 0.367 O
0.742 0.867 0.367 O
0.258 0.367 0.133 O
0.258 0.633 0.867 O
0.000 0.500 0.000 Pd
0.000 0.000 0.500 Pd
```

Summary:
theoretical density	7.8	g/cm3
VASP energy	-59.87	eV per formula unit